A geometry-optimized LiSi6Ni6 structure. Source: Alexandria via LeMat-Bulk, functional PBE.

Output
The uncorrected formation energy is -6.21 eV/f.u. The calculation puts the total magnetization at 0.00 μB/f.u. The offset from the most stable computed form comes out at 0.04 eV/f.u. The calculated total energy comes out at -5.796 eV per atom.

Cell lengths 8.467, 8.467, 7.584 Å; angles 90.00, 90.00, 120.00 degrees
Positions (direct):
Li: 0.000 0.000 0.000
Li: 0.333 0.667 0.500
Li: 0.667 0.333 0.500
Si: 0.000 0.000 0.344
Si: 0.000 0.000 0.656
Si: 0.000 0.328 0.000
Si: 0.000 0.338 0.500
Si: 0.000 0.662 0.500
Si: 0.000 0.672 0.000
Si: 0.328 0.000 0.000
Si: 0.328 0.328 0.000
Si: 0.333 0.667 0.157
Si: 0.333 0.667 0.843
Si: 0.338 0.000 0.500
Si: 0.338 0.338 0.500
Si: 0.662 0.000 0.500
Si: 0.662 0.662 0.500
Si: 0.667 0.333 0.157
Si: 0.667 0.333 0.843
Si: 0.672 0.000 0.000
Si: 0.672 0.672 0.000
Ni: 0.000 0.500 0.243
Ni: 0.000 0.500 0.757
Ni: 0.167 0.334 0.253
Ni: 0.167 0.334 0.747
Ni: 0.167 0.833 0.253
Ni: 0.167 0.833 0.747
Ni: 0.334 0.167 0.253
Ni: 0.334 0.167 0.747
Ni: 0.500 0.000 0.243
Ni: 0.500 0.000 0.757
Ni: 0.500 0.500 0.243
Ni: 0.500 0.500 0.757
Ni: 0.666 0.833 0.253
Ni: 0.666 0.833 0.747
Ni: 0.833 0.167 0.253
Ni: 0.833 0.167 0.747
Ni: 0.833 0.666 0.253
Ni: 0.833 0.666 0.747

=====

A geometry-optimized Li2SiNi structure. Source: Alexandria via LeMat-Bulk, functional PBE.

Output
The uncorrected formation energy is -0.57 eV/f.u. The calculation puts the total magnetization at 0.00 μB/f.u. The calculated total energy comes out at -3.901 eV per atom.

Cell lengths 2.592, 4.105, 4.711 Å; angles 90.00, 90.00, 90.00 degrees
Positions (direct):
Li: 0.000 0.000 0.248
Li: 0.000 0.000 0.752
Si: 0.500 0.500 0.500
Ni: 0.500 0.500 0.000

=====

A geometry-optimized LiSi2Ni4 structure. Source: Alexandria via LeMat-Bulk, functional PBE.

Output
The uncorrected formation energy is -1.46 eV/f.u. The calculation puts the total magnetization at 0.00 μB/f.u. The offset from the most stable computed form comes out at 0.00 eV/f.u. The calculated total energy comes out at -5.335 eV per atom.

Cell lengths 3.374, 3.374, 17.373 Å; angles 90.00, 90.00, 90.00 degrees
Positions (direct):
Li: 0.000 0.000 0.000
Li: 0.500 0.500 0.500
Si: 0.000 0.000 0.348
Si: 0.000 0.000 0.652
Si: 0.500 0.500 0.152
Si: 0.500 0.500 0.848
Ni: 0.000 0.000 0.139
Ni: 0.000 0.000 0.861
Ni: 0.000 0.500 0.250
Ni: 0.000 0.500 0.750
Ni: 0.500 0.000 0.250
Ni: 0.500 0.000 0.750
Ni: 0.500 0.500 0.361
Ni: 0.500 0.500 0.639

=====

A geometry-optimized Li2SiNi structure. Source: Alexandria via LeMat-Bulk, functional PBE.

Output
The uncorrected formation energy is -0.02 eV/f.u. The calculation puts the total magnetization at 0.01 μB/f.u. The calculated total energy comes out at -3.762 eV per atom.

Cell lengths 2.616, 2.616, 25.607 Å; angles 90.00, 90.00, 120.00 degrees
Positions (direct):
Li: 0.000 0.000 0.248
Li: 0.000 0.000 0.752
Li: 0.333 0.667 0.419
Li: 0.333 0.667 0.915
Li: 0.667 0.333 0.085
Li: 0.667 0.333 0.581
Si: 0.000 0.000 0.000
Si: 0.333 0.667 0.667
Si: 0.667 0.333 0.333
Ni: 0.000 0.000 0.500
Ni: 0.333 0.667 0.167
Ni: 0.667 0.333 0.833

=====

A geometry-optimized LiSmSi2Ni structure. Source: Alexandria via LeMat-Bulk, functional PBE.

Output
The uncorrected formation energy is -3.19 eV/f.u. The calculation puts the total magnetization at 0.00 μB/f.u. The calculated total energy comes out at -5.291 eV per atom.

Cell lengths 4.047, 4.047, 9.907 Å; angles 90.00, 90.00, 90.00 degrees
Positions (direct):
Li: 0.000 0.000 0.000
Li: 0.500 0.500 0.500
Sm: 0.000 0.500 0.750
Sm: 0.500 0.000 0.250
Si: 0.000 0.500 0.129
Si: 0.000 0.500 0.371
Si: 0.500 0.000 0.629
Si: 0.500 0.000 0.871
Ni: 0.000 0.000 0.500
Ni: 0.500 0.500 0.000

=====

A geometry-optimized LiSm2Si3Ni4 structure. Source: Alexandria via LeMat-Bulk, functional PBE.

Output
The uncorrected formation energy is -6.87 eV/f.u. The calculation puts the total magnetization at 0.00 μB/f.u. The calculated total energy comes out at -5.761 eV per atom.

Cell lengths 4.040, 4.040, 9.507 Å; angles 90.00, 90.00, 90.00 degrees
Positions (direct):
Li: 0.000 0.000 0.000
Sm: 0.000 0.500 0.749
Sm: 0.500 0.000 0.251
Si: 0.000 0.500 0.373
Si: 0.500 0.000 0.627
Si: 0.500 0.500 0.000
Ni: 0.000 0.000 0.500
Ni: 0.000 0.500 0.129
Ni: 0.500 0.000 0.871
Ni: 0.500 0.500 0.500

=====

A geometry-optimized LiSm3Si6Ni2 structure. Source: Alexandria via LeMat-Bulk, functional PBE.

Output
The uncorrected formation energy is -3.71 eV/f.u. The calculation puts the total magnetization at 0.00 μB/f.u. The calculated total energy comes out at -5.324 eV per atom.

Cell lengths 5.841, 5.841, 7.883 Å; angles 90.00, 90.00, 120.00 degrees
Positions (direct):
Li: 0.000 0.000 0.000
Sm: 0.000 0.000 0.500
Sm: 0.333 0.667 0.123
Sm: 0.667 0.333 0.877
Si: 0.195 0.390 0.778
Si: 0.195 0.805 0.778
Si: 0.390 0.195 0.222
Si: 0.610 0.805 0.778
Si: 0.805 0.195 0.222
Si: 0.805 0.610 0.222
Ni: 0.333 0.667 0.543
Ni: 0.667 0.333 0.457

=====

A geometry-optimized LiSm2Si3Ni12 structure. Source: Alexandria via LeMat-Bulk, functional PBE.

Output
The uncorrected formation energy is -2.97 eV/f.u. The calculation puts the total magnetization at 0.00 μB/f.u. The calculated total energy comes out at -5.553 eV per atom.

Cell lengths 6.264, 6.264, 6.264 Å; angles 84.27, 84.27, 84.27 degrees
Positions (direct):
Li: 0.000 0.000 0.000
Sm: 0.350 0.350 0.350
Sm: 0.650 0.650 0.650
Si: 0.000 0.000 0.500
Si: 0.000 0.500 0.000
Si: 0.500 0.000 0.000
Ni: 0.095 0.618 0.618
Ni: 0.185 0.185 0.707
Ni: 0.185 0.707 0.185
Ni: 0.293 0.815 0.815
Ni: 0.382 0.382 0.905
Ni: 0.382 0.905 0.382
Ni: 0.618 0.095 0.618
Ni: 0.618 0.618 0.095
Ni: 0.707 0.185 0.185
Ni: 0.815 0.293 0.815
Ni: 0.815 0.815 0.293
Ni: 0.905 0.382 0.382

=====

A geometry-optimized SrLi2SiNi structure. Source: Alexandria via LeMat-Bulk, functional PBE.

Output
The uncorrected formation energy is -0.72 eV/f.u. The calculation puts the total magnetization at 0.00 μB/f.u. The offset from the most stable computed form comes out at 0.31 eV/f.u. The calculated total energy comes out at -3.486 eV per atom.

Cell lengths 4.788, 4.788, 4.461 Å; angles 90.00, 90.00, 90.00 degrees
Positions (direct):
Sr: 0.000 0.000 0.000
Li: 0.000 0.500 0.500
Li: 0.500 0.000 0.500
Si: 0.500 0.500 0.500
Ni: 0.500 0.500 0.000

=====

A geometry-optimized SrLiSi2Ni structure. Source: Alexandria via LeMat-Bulk, functional PBE.

Output
The uncorrected formation energy is -1.86 eV/f.u. The calculation puts the total magnetization at 0.00 μB/f.u. The calculated total energy comes out at -4.416 eV per atom.

Cell lengths 4.262, 4.262, 9.736 Å; angles 90.00, 90.00, 90.00 degrees
Positions (direct):
Sr: 0.000 0.000 0.000
Sr: 0.500 0.500 0.500
Li: 0.000 0.500 0.250
Li: 0.500 0.000 0.750
Si: 0.000 0.000 0.375
Si: 0.000 0.000 0.625
Si: 0.500 0.500 0.125
Si: 0.500 0.500 0.875
Ni: 0.000 0.500 0.750
Ni: 0.500 0.000 0.250

=====

A geometry-optimized SrLi2SiNi structure. Source: Alexandria via LeMat-Bulk, functional PBE.

Output
The uncorrected formation energy is -1.03 eV/f.u. The calculation puts the total magnetization at 0.07 μB/f.u. The offset from the most stable computed form comes out at 0.00 eV/f.u. The calculated total energy comes out at -3.548 eV per atom.

Cell lengths 4.767, 4.767, 4.392 Å; angles 90.00, 90.00, 90.00 degrees
Positions (direct):
Sr: 0.000 0.000 0.000
Li: 0.000 0.500 0.500
Li: 0.500 0.000 0.500
Si: 0.500 0.500 0.000
Ni: 0.500 0.500 0.500

=====

A geometry-optimized LiTbSiNi structure. Source: Alexandria via LeMat-Bulk, functional PBE.

Output
The uncorrected formation energy is -2.11 eV/f.u. The calculation puts the total magnetization at 0.00 μB/f.u. The calculated total energy comes out at -4.964 eV per atom.

Cell lengths 6.253, 6.253, 6.253 Å; angles 90.00, 90.00, 90.00 degrees
Positions (direct):
Li: 0.000 0.000 0.000
Li: 0.000 0.500 0.500
Li: 0.500 0.000 0.500
Li: 0.500 0.500 0.000
Tb: 0.250 0.250 0.250
Tb: 0.250 0.750 0.750
Tb: 0.750 0.250 0.750
Tb: 0.750 0.750 0.250
Si: 0.250 0.250 0.750
Si: 0.250 0.750 0.250
Si: 0.750 0.250 0.250
Si: 0.750 0.750 0.750
Ni: 0.000 0.000 0.500
Ni: 0.000 0.500 0.000
Ni: 0.500 0.000 0.000
Ni: 0.500 0.500 0.500